Entry 1:
This record from Alexandria via LeMat-Bulk describes a geometry-optimized Y2MgTi structure. The functional is PBE.

Lattice parameters (Å, degrees): 3.279 3.279 11.743 81.97 81.97 60.00
Atoms (fractional coordinates):
1 Ti 0.000 0.000 0.000
2 Mg 0.500 0.500 0.500
3 Y 0.085 0.085 0.745
4 Y 0.915 0.915 0.255

Computed properties:
Calculated total energy (eV/atom): -5.17
Energy of formation from the pure elements (eV per atom): 0.433
M_tot (μB/atom): 0.5823
Space group: R-3m (166)

=====

Entry 2:
This record from Alexandria via LeMat-Bulk describes a geometry-optimized MgCd2Ga2 structure. The functional is PBE.

Lattice parameters (Å, degrees): 7.208 7.208 4.179 90.00 90.00 90.00
Atoms (fractional coordinates):
1 Cd 0.678 0.822 0.500
2 Ga 0.628 0.128 0.000
3 Cd 0.178 0.678 0.500
4 Ga 0.372 0.872 0.000
5 Cd 0.822 0.322 0.500
6 Mg 0.500 0.500 0.000
7 Mg 0.000 0.000 0.000
8 Ga 0.872 0.628 0.000
9 Ga 0.128 0.372 0.000
10 Cd 0.322 0.178 0.500

Computed properties:
Calculated total energy (eV/atom): -1.87
Energy of formation from the pure elements (eV per atom): 0.025
M_tot (μB/atom): 0.0000
Space group: P4/mbm (127)
Excess energy over the best structure of this formula in the dataset (eV per formula unit): 0.16

=====

Entry 3:
This record from Alexandria via LeMat-Bulk describes a geometry-optimized Re2Si2Pt structure. The functional is PBE.

Lattice parameters (Å, degrees): 7.116 7.116 2.817 90.00 90.00 90.00
Atoms (fractional coordinates):
1 Si 0.147 0.353 0.000
2 Re 0.349 0.151 0.500
3 Pt 0.500 0.500 0.000
4 Si 0.647 0.147 0.000
5 Si 0.853 0.647 0.000
6 Pt 0.000 0.000 0.000
7 Re 0.651 0.849 0.500
8 Re 0.849 0.349 0.500
9 Re 0.151 0.651 0.500
10 Si 0.353 0.853 0.000

Computed properties:
Formation energy from raw total energies (eV per atom): -0.0275
Calculated total energy (eV/atom): -8.38
M_tot (μB/atom): 0.0000
Space group: P4/mbm (127)

=====

Entry 4:
This record from Alexandria via LeMat-Bulk describes a geometry-optimized Pr2Ni4P3Pd structure. The functional is PBE.

Lattice parameters (Å, degrees): 4.043 4.043 9.605 90.00 90.00 90.00
Atoms (fractional coordinates):
1 Pd 0.500 0.500 0.500
2 P 0.000 0.000 0.500
3 Ni 0.500 0.000 0.642
4 P 0.000 0.500 0.125
5 Pr 0.500 0.000 0.247
6 P 0.500 0.000 0.875
7 Ni 0.500 0.500 0.000
8 Pr 0.000 0.500 0.753
9 Ni 0.000 0.500 0.358
10 Ni 0.000 0.000 0.000

Computed properties:
Calculated total energy (eV/atom): -6.24
Energy of formation from the pure elements (eV per atom): -0.832
M_tot (μB/atom): 0.0000
Space group: P-4m2 (115)

=====

Entry 5:
This record from Alexandria via LeMat-Bulk describes a geometry-optimized Dy6HoHg2 structure. The functional is PBE.

Lattice parameters (Å, degrees): 3.721 6.548 11.588 75.59 80.76 73.49
Atoms (fractional coordinates):
1 Dy 0.312 0.499 0.876
2 Hg 0.357 0.082 0.204
3 Ho 0.000 0.000 0.000
4 Dy 0.688 0.209 0.415
5 Dy 0.312 0.791 0.585
6 Dy 0.983 0.696 0.337
7 Dy 0.017 0.304 0.663
8 Dy 0.688 0.501 0.124
9 Hg 0.643 0.918 0.796

Computed properties:
Calculated total energy (eV/atom): -3.85
Energy of formation from the pure elements (eV per atom): -0.208
M_tot (μB/atom): 0.0000
Space group: C2/m (12)

=====

Entry 6:
This record from Alexandria via LeMat-Bulk describes a geometry-optimized CsSrHfTc2 structure. The functional is PBE.

Lattice parameters (Å, degrees): 5.064 5.250 5.064 90.00 90.00 90.00
Atoms (fractional coordinates):
1 Sr 0.500 0.500 0.500
2 Hf 0.000 0.500 0.000
3 Tc 0.000 0.000 0.500
4 Tc 0.500 0.000 0.000
5 Cs 0.000 0.000 0.000

Computed properties:
Calculated total energy (eV/atom): -4.36
Energy of formation from the pure elements (eV per atom): 2.289
M_tot (μB/atom): 0.3892
Space group: P4/mmm (123)

=====

Entry 7:
This record from Alexandria via LeMat-Bulk describes a geometry-optimized NbSiN2 structure. The functional is PBE.

Lattice parameters (Å, degrees): 6.330 6.330 6.330 27.61 27.61 27.61
Atoms (fractional coordinates):
1 N 0.902 0.902 0.902
2 Si 0.000 0.000 0.000
3 Nb 0.500 0.500 0.500
4 N 0.098 0.098 0.098

Computed properties:
Formation energy from raw total energies (eV per atom): -0.4338
Calculated total energy (eV/atom): -8.47
M_tot (μB/atom): 0.0000
Space group: R-3m (166)

=====

Entry 8:
This record from Alexandria via LeMat-Bulk describes a geometry-optimized CuS2O structure. The functional is PBE.

Lattice parameters (Å, degrees): 4.715 4.715 6.610 69.10 69.10 90.00
Atoms (fractional coordinates):
1 S 0.158 0.625 0.250
2 S 0.875 0.842 0.750
3 O 0.500 0.500 0.000
4 S 0.592 0.125 0.250
5 S 0.375 0.408 0.750
6 Cu 0.000 0.000 0.000
7 O 0.250 0.750 0.500
8 Cu 0.750 0.250 0.500

Computed properties:
Formation energy from raw total energies (eV per atom): 0.4108
Calculated total energy (eV/atom): -3.92
M_tot (μB/atom): 0.0000
Space group: I-42d (122)